Nd3Zn2Hg3 after structural relaxation. Source: Alexandria, functional PBE.

a = 4.6727 Å, b = 6.0230 Å, c = 15.6573 Å
α = 90.00°, β = 90.00°, γ = 112.82°
Closest atoms and distances in Å follow each position.
Fractional coordinates of all 16 atoms:
Hg 0.6176 0.2352 0.0439  2 Zn 2.69, 1 Hg 2.95
Hg 0.6569 0.3138 0.7500  2 Zn 2.77
Hg 0.3824 0.7648 0.9561  2 Zn 2.69, 1 Hg 2.95
Hg 0.3431 0.6862 0.2500  2 Zn 2.77
Hg 0.3824 0.7648 0.5439  2 Zn 2.69, 1 Hg 2.95
Hg 0.6176 0.2352 0.4561  2 Zn 2.69, 1 Hg 2.95
Zn 0.7965 0.5930 0.6035  3 Hg 2.69-2.77
Zn 0.2035 0.4070 0.3965  3 Hg 2.69-2.77
Zn 0.7965 0.5930 0.8965  3 Hg 2.69-2.77
Zn 0.2035 0.4070 0.1035  3 Hg 2.69-2.77
Nd 0.0945 0.1889 0.8964  4 Zn 3.24-3.46, 7 Hg 3.30-3.45
Nd 0.0945 0.1889 0.6036  4 Zn 3.24-3.46, 7 Hg 3.30-3.45
Nd 0.3747 0.7493 0.7500  5 Hg 3.13-3.36, 4 Zn 3.39
Nd 0.9055 0.8111 0.3964  4 Zn 3.24-3.46, 7 Hg 3.30-3.45
Nd 0.6253 0.2507 0.2500  5 Hg 3.13-3.36, 4 Zn 3.39
Nd 0.9055 0.8111 0.1036  4 Zn 3.24-3.46, 7 Hg 3.30-3.45

Output
The value obtained for the size of the total moment is 0.00 Bohr magnetons per cell. The calculated formation energy is -0.39 eV per atom. For the energy, the calculation gives -2.61 eV/atom. Its crystal system is orthorhombic.


Nd4ZnHg2 after structural relaxation. Source: Alexandria, functional PBE.

a = 5.2674 Å, b = 5.2674 Å, c = 8.3362 Å
α = 108.42°, β = 108.42°, γ = 90.00°
Closest atoms and distances in Å follow each position.
Fractional coordinates of all 7 atoms:
Hg 0.7530 0.7530 0.5061  8 Nd 3.27-3.33
Hg 0.2470 0.2470 0.4939  8 Nd 3.27-3.33
Nd 0.3832 0.8832 0.7665  2 Zn 3.16, 4 Hg 3.27-3.33, 1 Nd 3.48
Nd 0.6168 0.1168 0.2335  2 Zn 3.16, 4 Hg 3.27-3.33, 1 Nd 3.48
Nd 0.8832 0.3832 0.7665  2 Zn 3.16, 4 Hg 3.27-3.33, 1 Nd 3.48
Nd 0.1168 0.6168 0.2335  2 Zn 3.16, 4 Hg 3.27-3.33, 1 Nd 3.48
Zn 0.0000 0.0000 0.0000  8 Nd 3.16

Output
The value obtained for the size of the total moment is 0.00 Bohr magnetons per cell. The calculated formation energy is -0.27 eV per atom. For the energy, the calculation gives -3.26 eV/atom. Its crystal system is tetragonal.


Nd4ZnHg3 after structural relaxation. Source: Alexandria, functional PBE.

a = 3.7749 Å, b = 4.8915 Å, c = 12.1320 Å
α = 90.00°, β = 90.00°, γ = 90.00°
Closest atoms and distances in Å follow each position.
Fractional coordinates of all 8 atoms:
Hg 0.5000 0.0000 0.9281  2 Zn 3.03, 7 Nd 3.22-3.35
Hg 0.0000 0.5000 0.5782  2 Hg 3.10, 7 Nd 3.22-3.42
Hg 0.0000 0.0000 0.4210  2 Hg 3.10, 7 Nd 3.23-3.38
Nd 0.0000 0.0000 0.1485  4 Zn 3.21, 3 Hg 3.27-3.31
Nd 0.0000 0.5000 0.8535  5 Hg 3.22-3.34, 2 Zn 3.29
Nd 0.5000 0.0000 0.6518  7 Hg 3.22-3.38
Nd 0.5000 0.5000 0.3433  6 Hg 3.23-3.42, 1 Zn 3.25
Zn 0.5000 0.5000 0.0755  2 Hg 3.03, 7 Nd 3.21-3.29

Output
Its energy above the lowest structure with this stoichiometry is 0.40 eV per formula unit. The value obtained for the size of the total moment is 0.00 Bohr magnetons per cell. The calculated formation energy is -0.38 eV per atom. For the energy, the calculation gives -3.04 eV/atom. Its crystal system is orthorhombic.


Nd6ZnHg5 after structural relaxation. Source: Alexandria, functional PBE.

a = 5.3850 Å, b = 7.6601 Å, c = 8.5257 Å
α = 90.00°, β = 108.57°, γ = 90.00°
Closest atoms and distances in Å follow each position.
Fractional coordinates of all 12 atoms:
Nd 0.5000 0.7560 0.0000  6 Hg 3.27-3.34, 2 Zn 3.28
Nd 0.8365 0.2464 0.6714  1 Zn 3.26, 7 Hg 3.29-3.35
Nd 0.5000 0.2440 0.0000  6 Hg 3.27-3.34, 2 Zn 3.28
Nd 0.8365 0.7536 0.6714  1 Zn 3.26, 7 Hg 3.29-3.35
Nd 0.1635 0.7536 0.3286  1 Zn 3.26, 7 Hg 3.29-3.35
Nd 0.1635 0.2464 0.3286  1 Zn 3.26, 7 Hg 3.29-3.35
Hg 0.3339 0.5000 0.6659  8 Nd 3.32-3.35
Hg 0.0000 0.5000 0.0000  8 Nd 3.29-3.33
Hg 0.6661 0.5000 0.3341  8 Nd 3.32-3.35
Hg 0.3350 0.0000 0.6679  8 Nd 3.27-3.33
Hg 0.6650 0.0000 0.3321  8 Nd 3.27-3.33
Zn 0.0000 0.0000 0.0000  8 Nd 3.26-3.28

Output
The value obtained for the size of the total moment is 2.50 Bohr magnetons per cell. The calculated formation energy is -0.44 eV per atom. For the energy, the calculation gives -3.06 eV/atom. Its crystal system is monoclinic.


What did the first record say?
Nd3Zn2Hg3 after structural relaxation. Source: Alexandria, functional PBE.

a = 4.6727 Å, b = 6.0230 Å, c = 15.6573 Å
α = 90.00°, β = 90.00°, γ = 112.82°
Closest atoms and distances in Å follow each position.
Fractional coordinates of all 16 atoms:
Hg 0.6176 0.2352 0.0439  2 Zn 2.69, 1 Hg 2.95
Hg 0.6569 0.3138 0.7500  2 Zn 2.77
Hg 0.3824 0.7648 0.9561  2 Zn 2.69, 1 Hg 2.95
Hg 0.3431 0.6862 0.2500  2 Zn 2.77
Hg 0.3824 0.7648 0.5439  2 Zn 2.69, 1 Hg 2.95
Hg 0.6176 0.2352 0.4561  2 Zn 2.69, 1 Hg 2.95
Zn 0.7965 0.5930 0.6035  3 Hg 2.69-2.77
Zn 0.2035 0.4070 0.3965  3 Hg 2.69-2.77
Zn 0.7965 0.5930 0.8965  3 Hg 2.69-2.77
Zn 0.2035 0.4070 0.1035  3 Hg 2.69-2.77
Nd 0.0945 0.1889 0.8964  4 Zn 3.24-3.46, 7 Hg 3.30-3.45
Nd 0.0945 0.1889 0.6036  4 Zn 3.24-3.46, 7 Hg 3.30-3.45
Nd 0.3747 0.7493 0.7500  5 Hg 3.13-3.36, 4 Zn 3.39
Nd 0.9055 0.8111 0.3964  4 Zn 3.24-3.46, 7 Hg 3.30-3.45
Nd 0.6253 0.2507 0.2500  5 Hg 3.13-3.36, 4 Zn 3.39
Nd 0.9055 0.8111 0.1036  4 Zn 3.24-3.46, 7 Hg 3.30-3.45

Output
The value obtained for the size of the total moment is 0.00 Bohr magnetons per cell. The calculated formation energy is -0.39 eV per atom. For the energy, the calculation gives -2.61 eV/atom. Its crystal system is orthorhombic.